No. 1
Er2ZnBr: optimized geometry, PBE.

```
Er2ZnBr
1.0
-1.470 2.173 -2.269
-0.697 -1.070 -3.225
-10.408 -2.873 1.339
Zn Br Er
1 1 2
direct
0.000 0.000 0.000
0.500 0.500 0.500
0.093 0.093 0.722
0.907 0.907 0.278
```

Calculated values
The density of states at the Fermi level is 4.6 states/eV per cell. The formation energy (no corrections) comes out at -153 meV/atom. The value obtained for the total energy is -3.17 eV per atom.

***

No. 2
Er2ZrBr: optimized geometry, PBE.

```
Er2ZrBr
1.0
3.540 0.000 0.000
1.770 3.066 0.000
1.770 1.022 9.742
Br Zr Er
1 1 2
direct
0.000 0.000 0.000
0.500 0.500 0.500
0.747 0.747 0.759
0.253 0.253 0.241
```

Calculated values
The density of states at the Fermi level is 5.2 states/eV per cell. The formation energy (no corrections) comes out at -463 meV/atom. The value obtained for the total energy is -5.30 eV per atom.

***

No. 3
EuBr2: optimized geometry, PBE.

```
EuBr2
1.0
11.619 0.000 0.000
0.000 11.619 0.000
0.000 0.000 7.203
Eu Br
10 20
direct
0.500 0.000 0.156
0.000 0.500 0.844
0.834 0.855 0.753
0.355 0.666 0.753
0.645 0.334 0.753
0.166 0.145 0.753
0.666 0.645 0.247
0.145 0.834 0.247
0.855 0.166 0.247
0.334 0.355 0.247
0.000 0.000 0.500
0.500 0.500 0.500
0.000 0.000 0.000
0.500 0.500 0.000
0.707 0.089 0.907
0.589 0.793 0.907
0.411 0.207 0.907
0.293 0.911 0.907
0.793 0.411 0.093
0.911 0.707 0.093
0.208 0.399 0.620
0.899 0.292 0.620
0.101 0.708 0.620
0.792 0.601 0.620
0.292 0.101 0.380
0.601 0.208 0.380
0.399 0.792 0.380
0.708 0.899 0.380
0.207 0.589 0.093
0.089 0.293 0.093
```

Calculated values
The formation energy (no corrections) comes out at -2010 meV/atom. The value obtained for the total energy is -6.55 eV per atom.

***

No. 4
EuBr3: optimized geometry, PBE.

```
EuBr3
1.0
4.067 0.000 0.000
0.000 6.923 0.000
-2.033 -3.462 4.869
Eu Br
1 3
direct
0.000 0.059 0.000
0.319 0.691 0.639
0.500 0.364 0.000
0.681 0.052 0.361
```

Calculated values
The density of states at the Fermi level is 12.3 states/eV per cell. The formation energy (no corrections) comes out at -1483 meV/atom. The value obtained for the total energy is -5.31 eV per atom.

***

No. 5
EuBr3: optimized geometry, PBE.

```
EuBr3
1.0
-4.121 -0.557 -0.116
2.716 -5.413 4.249
-0.925 5.310 7.356
Eu Br
2 6
direct
0.745 0.491 0.250
0.255 0.509 0.750
0.350 0.701 0.434
0.650 0.299 0.566
0.901 0.801 0.750
0.099 0.199 0.250
0.350 0.701 0.066
0.650 0.299 0.934
```

Calculated values
The density of states at the Fermi level is 18.2 states/eV per cell. The formation energy (no corrections) comes out at -1536 meV/atom. The value obtained for the total energy is -5.36 eV per atom.

***

No. 6
EuBr2: optimized geometry, PBE.

```
EuBr2
1.0
-2.837 3.583 -0.614
0.349 -0.926 -7.022
-5.626 -4.403 0.301
Eu Br
2 4
direct
0.000 0.000 0.000
0.500 0.500 0.500
0.500 0.202 0.808
0.000 0.702 0.692
0.000 0.298 0.308
0.500 0.798 0.192
```

Calculated values
The density of states at the Fermi level is 0.0 states/eV per cell. The formation energy (no corrections) comes out at -2015 meV/atom. The value obtained for the total energy is -6.56 eV per atom.

***

No. 7
Eu2Br2F: optimized geometry, PBE.

```
Eu2Br2F
1.0
-1.042 2.524 3.815
-3.743 -2.720 0.777
7.916 -8.644 7.882
Eu Br F
2 2 1
direct
0.500 0.500 0.164
0.500 0.500 0.836
0.500 0.500 0.647
0.500 0.500 0.353
0.500 0.500 0.000
```

Calculated values
The density of states at the Fermi level is 23.3 states/eV per cell. The formation energy (no corrections) comes out at -1453 meV/atom. The value obtained for the total energy is -6.61 eV per atom.

***

No. 8
Eu2BrF: optimized geometry, PBE.

```
Eu2BrF
1.0
-1.977 1.863 -3.058
-1.415 -2.188 -3.154
-8.943 -1.295 2.256
Eu Br F
2 1 1
direct
0.083 0.083 0.750
0.917 0.917 0.250
0.500 0.500 0.500
0.000 0.000 0.000
```

Calculated values
The density of states at the Fermi level is 8.9 states/eV per cell. The formation energy (no corrections) comes out at -1935 meV/atom. The value obtained for the total energy is -7.96 eV per atom.